Density functional theory data (SCAN) for a PBEsol-optimized structure of TaSe.

a b c (Å): 3.1420 3.1420 8.0537
angles (deg): 90.00 90.00 90.00
With the nearest neighbours (Å) after each atom.
Positions (direct):
Se (0.5000, 0.0000, 0.1908)  4 Ta 2.62
Se (0.0000, 0.5000, 0.8092)  4 Ta 2.62
Ta (0.5000, 0.0000, 0.6360)  4 Se 2.62
Ta (0.0000, 0.5000, 0.3640)  4 Se 2.62

Properties
- energy (eV/atom) = -43.701
- formation energy without anion corrections (eV per atom) = -0.3699